No. 1
First-principles (PBEsol) data for a relaxed YCdS2Br crystal, as listed in Alexandria via LeMat-Bulk.

Calculated values
Calculated total energy in eV/atom: -4.40

Unit cell a=5.177 b=5.177 c=5.406 alpha=90.00 beta=90.00 gamma=90.00
Space group P4/mmm (No. 123)
Inequivalent atoms, fractional coordinates:
1 Y 0.000 0.000 0.000 (multiplicity 1)
2 Cd 0.500 0.500 0.500 (multiplicity 1)
3 S 0.000 0.500 0.000 (multiplicity 2)
4 Br 0.000 0.000 0.500 (multiplicity 1)

No. 2
First-principles (PBEsol) data for a relaxed CdSb2Br crystal, as listed in Alexandria via LeMat-Bulk.

Calculated values
E above lowest polymorph in eV/atom: 0.0000

Unit cell a=4.0564 b=4.0564 c=24.6102 alpha=90.00 beta=90.00 gamma=120.00
Space group R3m (No. 160, hexagonal axes)
Inequivalent atoms, fractional coordinates:
1 Cd 0.0000 0.0000 0.0000 (multiplicity 3)
2 Sb 0.0000 0.0000 0.2518 (multiplicity 3)
3 Sb 0.0000 0.0000 0.5161 (multiplicity 3)
4 Br 0.0000 0.0000 0.7312 (multiplicity 3)

No. 3
First-principles (PBEsol) data for a relaxed CdSb3Br crystal, as listed in Alexandria via LeMat-Bulk.

Calculated values
Calculated total energy in eV/atom: -2.63

Unit cell a=5.447 b=5.447 c=5.447 alpha=90.00 beta=90.00 gamma=90.00
Space group Pm-3m (No. 221)
Inequivalent atoms, fractional coordinates:
1 Cd 0.000 0.000 0.000 (multiplicity 1)
2 Sb 0.000 0.000 0.500 (multiplicity 3)
3 Br 0.500 0.500 0.500 (multiplicity 1)

No. 4
First-principles (PBEsol) data for a relaxed CdSb2Br crystal, as listed in Alexandria via LeMat-Bulk.

Calculated values
E above lowest polymorph in eV/atom: 0.1498

Unit cell a=3.455 b=4.925 c=12.318 alpha=90.00 beta=90.00 gamma=90.00
Space group Immm (No. 71)
Inequivalent atoms, fractional coordinates:
1 Cd 0.000 0.000 0.000 (multiplicity 2)
2 Sb 0.000 0.500 0.295 (multiplicity 4)
3 Br 0.000 0.000 0.500 (multiplicity 2)